## DyHo2Al6 (PBE-GGA)

Data for an optimized crystal structure of DyHo2Al6.

Geometry as CIF:
```
data_DyHo2Al6
_chemical_formula_sum 'Dy2 Ho4 Al12'
_cell_length_a 4.3710
_cell_length_b 7.0751
_cell_length_c 13.5288
_cell_angle_alpha 90.00
_cell_angle_beta 90.00
_cell_angle_gamma 90.00
_symmetry_space_group_name_H-M 'I m m m'
_symmetry_Int_Tables_number 71
_symmetry_space_group_name_Hall '-I 2 2'
loop_
_atom_site_label
_atom_site_type_symbol
_atom_site_fract_x
_atom_site_fract_y
_atom_site_fract_z
_atom_site_occupancy
Dy1 Dy 0.0000 0.0000 0.0000 1
Ho1 Ho 0.0000 0.5000 0.1233 1
Al1 Al 0.0000 0.1886 0.5000 1
Al2 Al 0.0000 0.3056 0.3143 1
```

calculated total energy	-38.4	eV per formula unit
energy above the lowest structure with this stoichiometry	0.255	eV per atom
spin magnetization	0.00	μB per formula unit